Run a
Material: Rb2CdP2Se6
Method: DFT, PBE
State: optimized geometry

The space group is C2/m (No. 12) and the conventional cell measures 13.464, 7.126 and 7.561 Å, with angles of 90.00, 107.47 and 90.00 degrees. The distinct sites, in fractional coordinates, are Rb at (0.206, 0.000, 0.208), Cd at (0.000, 0.000, 0.500), P at (0.018, 0.500, 0.164), Se at (0.068, 0.242, 0.799) and Se at (0.185, 0.500, 0.289).

Run b
Material: Rb2CdP2Se6
Method: DFT, PBE
State: optimized geometry

The space group is P2_1/c (No. 14) and the conventional cell measures 6.746, 12.798 and 9.852 Å, with angles of 90.00, 125.25 and 90.00 degrees. The distinct sites, in fractional coordinates, are Rb at (0.228, 0.179, 0.481), Cd at (0.500, 0.000, 0.000), P at (0.149, 0.539, 0.623), Se at (0.031, 0.070, 0.752), Se at (0.265, 0.679, 0.557) and Se at (0.449, 0.075, 0.255).

Stability verdict: run b, ahead by 103 meV/atom

Run a
Material: CdReP3
Method: DFT, PBE
State: optimized geometry

The space group is Pm-3m (No. 221) and the conventional cell measures 4.686, 4.686 and 4.686 Å, with angles of 90.00, 90.00 and 90.00 degrees. The distinct sites, in fractional coordinates, are Cd at (0.000, 0.000, 0.000), Re at (0.500, 0.500, 0.500) and P at (0.000, 0.500, 0.500).

Run b
Material: CdReP3
Method: DFT, PBE
State: optimized geometry

The space group is Pm-3m (No. 221) and the conventional cell measures 4.734, 4.734 and 4.734 Å, with angles of 90.00, 90.00 and 90.00 degrees. The distinct sites, in fractional coordinates, are Cd at (0.000, 0.000, 0.000), Re at (0.500, 0.500, 0.500) and P at (0.000, 0.000, 0.500).

Stability verdict: run a, ahead by 1673 meV/atom

Run a
Material: Cd3ReP
Method: DFT, PBE
State: optimized geometry

The space group is Pm-3m (No. 221) and the conventional cell measures 5.251, 5.251 and 5.251 Å, with angles of 90.00, 90.00 and 90.00 degrees. The distinct sites, in fractional coordinates, are Cd at (0.000, 0.000, 0.500), Re at (0.000, 0.000, 0.000) and P at (0.500, 0.500, 0.500).

Run b
Material: Cd3ReP
Method: DFT, PBE
State: optimized geometry

The space group is Pm-3m (No. 221) and the conventional cell measures 4.967, 4.967 and 4.967 Å, with angles of 90.00, 90.00 and 90.00 degrees. The distinct sites, in fractional coordinates, are Cd at (0.000, 0.000, 0.500), Re at (0.500, 0.500, 0.500) and P at (0.000, 0.000, 0.000).

Stability verdict: run b, ahead by 120 meV/atom

Run a
Material: CdRePS2
Method: DFT, PBE
State: optimized geometry

The space group is P4/mmm (No. 123) and the conventional cell measures 4.520, 4.520 and 5.123 Å, with angles of 90.00, 90.00 and 90.00 degrees. The distinct sites, in fractional coordinates, are Cd at (0.000, 0.000, 0.000), Re at (0.500, 0.500, 0.500), P at (0.500, 0.500, 0.000) and S at (0.000, 0.500, 0.500).

Run b
Material: CdRePS2
Method: DFT, PBE
State: optimized geometry

The space group is P4/mmm (No. 123) and the conventional cell measures 4.775, 4.775 and 4.799 Å, with angles of 90.00, 90.00 and 90.00 degrees. The distinct sites, in fractional coordinates, are Cd at (0.000, 0.000, 0.000), Re at (0.500, 0.500, 0.500), P at (0.000, 0.000, 0.500) and S at (0.000, 0.500, 0.000).

Stability verdict: run a, ahead by 1634 meV/atom

Run a
Material: CdPRhS2
Method: DFT, PBE
State: optimized geometry

The space group is P4/mmm (No. 123) and the conventional cell measures 4.909, 4.909 and 4.875 Å, with angles of 90.00, 90.00 and 90.00 degrees. The distinct sites, in fractional coordinates, are Cd at (0.000, 0.000, 0.000), P at (0.000, 0.000, 0.500), Rh at (0.500, 0.500, 0.500) and S at (0.000, 0.500, 0.000).

Run b
Material: CdPRhS2
Method: DFT, PBE
State: optimized geometry

The space group is P4/mmm (No. 123) and the conventional cell measures 4.793, 4.793 and 5.087 Å, with angles of 90.00, 90.00 and 90.00 degrees. The distinct sites, in fractional coordinates, are Cd at (0.000, 0.000, 0.000), P at (0.500, 0.500, 0.500), Rh at (0.000, 0.000, 0.500) and S at (0.000, 0.500, 0.000).

Run c
Material: CdPRhS2
Method: DFT, PBE
State: optimized geometry

The space group is P4/mmm (No. 123) and the conventional cell measures 4.947, 4.947 and 4.295 Å, with angles of 90.00, 90.00 and 90.00 degrees. The distinct sites, in fractional coordinates, are Cd at (0.000, 0.000, 0.000), P at (0.500, 0.500, 0.000), Rh at (0.500, 0.500, 0.500) and S at (0.000, 0.500, 0.500).

Stability verdict: run c, ahead by 1049 meV/atom

Run a
Material: CdP2S6
Method: DFT, PBE
State: optimized geometry

The space group is P-3m1 (No. 164) and the conventional cell measures 6.8152, 6.8152 and 7.5520 Å, with angles of 90.00, 90.00 and 120.00 degrees. The distinct sites, in fractional coordinates, are Cd at (0.0000, 0.0000, 0.0000), P at (0.3333, 0.6667, 0.7718) and S at (0.1678, 0.3356, 0.7465).

Run b
Material: CdP2S6
Method: DFT, PBE
State: optimized geometry

The space group is C2/c (No. 15) and the conventional cell measures 12.999, 13.053 and 5.778 Å, with angles of 90.00, 115.85 and 90.00 degrees. The distinct sites, in fractional coordinates, are Cd at (0.000, 0.223, 0.250), P at (0.223, 0.419, 0.662), S at (0.109, 0.080, 0.117), S at (0.141, 0.292, 0.685) and S at (0.156, 0.443, 0.256).

Stability verdict: run b, ahead by 218 meV/atom